Density functional theory data (PBE) for a relaxed MgP crystal.

- Volume: 85 Å³/cell
- Space-group type: No. 2
- Distance to the lowest polymorph of the same formula: 0.041 eV/atom

Cell: 4.406 4.486 5.318 Å, 69.19 73.24 60.60°
Atoms (fractional coordinates):
Mg 0.233 0.168 0.261
Mg 0.767 0.832 0.739
P 0.090 0.161 0.798
P 0.910 0.839 0.202



Density functional theory data (PBE) for a relaxed SrYTi3 crystal.

- Volume: 141 Å³/cell
- Space-group type: No. 221
- Distance to the lowest polymorph of the same formula: 0.000 eV/atom

Cell: 5.199 5.199 5.199 Å, 90.00 90.00 90.00°
Atoms (fractional coordinates):
Sr 0.000 0.000 0.000
Y 0.500 0.500 0.500
Ti 0.000 0.500 0.500
Ti 0.500 0.000 0.500
Ti 0.500 0.500 0.000



Density functional theory data (PBE) for a relaxed Pm3SmOs crystal.

- Volume: 173 Å³/cell
- Space-group type: No. 221
- Distance to the lowest polymorph of the same formula: 0.209 eV/atom

Cell: 5.576 5.576 5.576 Å, 90.00 90.00 90.00°
Atoms (fractional coordinates):
Pm 0.000 0.000 0.500
Pm 0.000 0.500 0.000
Pm 0.500 0.000 0.000
Sm 0.500 0.500 0.500
Os 0.000 0.000 0.000



Density functional theory data (PBE) for a relaxed Li2RuSe crystal.

- Volume: 128 Å³/cell
- ΔE_f (raw): -2.3 kJ per mole of atoms
- Space-group type: No. 122

Cell: 5.704 5.704 5.704 Å, 100.14 100.14 130.39°
Atoms (fractional coordinates):
Li 0.096 0.625 0.971
Li 0.375 0.346 0.471
Li 0.654 0.125 0.029
Li 0.875 0.904 0.529
Ru 0.250 0.750 0.500
Ru 0.500 0.500 0.000
Se 0.000 0.000 0.000
Se 0.750 0.250 0.500



Density functional theory data (PBE) for a relaxed AlFe2Hg crystal.

- Volume: 59 Å³/cell
- Space-group type: No. 139
- Calculated total energy: -5.068 eV/atom

Cell: 4.857 4.857 4.857 Å, 133.64 133.64 67.65°
Atoms (fractional coordinates):
Al 0.000 0.000 0.000
Fe 0.250 0.750 0.500
Fe 0.750 0.250 0.500
Hg 0.500 0.500 0.000



Density functional theory data (PBE) for a relaxed AgS3F crystal.

- Volume: 215 Å³/cell
- ΔE_f (raw): -17.9 kJ per mole of atoms
- Space-group type: No. 11
- Distance to the lowest polymorph of the same formula: 0.000 eV/atom

Cell: 6.177 3.658 9.507 Å, 90.00 91.92 90.00°
Atoms (fractional coordinates):
Ag 0.201 0.250 0.288
Ag 0.799 0.750 0.712
S 0.072 0.250 0.732
S 0.310 0.250 0.596
S 0.441 0.750 0.203
S 0.559 0.250 0.797
S 0.690 0.750 0.404
S 0.928 0.750 0.268
F 0.268 0.750 0.049
F 0.732 0.250 0.951



Density functional theory data (PBE) for a relaxed CsYBrCl2 crystal.

- Volume: 166 Å³/cell
- ΔE_f (raw): -175.9 kJ per mole of atoms
- Space-group type: No. 123

Cell: 5.404 5.404 5.699 Å, 90.00 90.00 90.00°
Atoms (fractional coordinates):
Cs 0.000 0.000 0.000
Y 0.500 0.500 0.500
Br 0.500 0.500 0.000
Cl 0.000 0.500 0.500
Cl 0.500 0.000 0.500



Q: Which of these has the lowest volume?
A: AlFe2Hg